<P>
Compound: NdTiGa2
Source: Alexandria via LeMat-Bulk
Functional: GGA-PBE
Structure: optimized geometry

Cell: 8.380 8.380 8.380 Å, 24.42 24.42 24.42°
Atoms (fractional coordinates):
Nd 0.000 0.000 0.000
Ti 0.500 0.500 0.500
Ga 0.238 0.238 0.238
Ga 0.762 0.762 0.762

## Properties
The density of states at the Fermi level comes out at 3.31 states/eV/cell. The total magnetization is 0.00 μB per cell.

---

<Q>
Compound: NdTiGa2
Source: Alexandria via LeMat-Bulk
Functional: GGA-PBE
Structure: optimized geometry

Cell: 3.491 3.491 6.684 Å, 90.00 90.00 90.00°
Atoms (fractional coordinates):
Nd 0.000 0.000 0.000
Ti 0.000 0.000 0.500
Ga 0.500 0.500 0.301
Ga 0.500 0.500 0.699

## Properties
The density of states at the Fermi level comes out at 2.05 states/eV/cell. The total magnetization is 0.80 μB per cell.

---

Which of them is least stable? Easy: <P>.

---

<P>
Compound: Nd4TlGa2
Source: Alexandria via LeMat-Bulk
Functional: GGA-PBE
Structure: optimized geometry

Cell: 9.032 9.032 9.032 Å, 33.84 33.84 33.84°
Atoms (fractional coordinates):
Nd 0.116 0.116 0.116
Nd 0.369 0.369 0.369
Nd 0.631 0.631 0.631
Nd 0.884 0.884 0.884
Tl 0.500 0.500 0.500
Ga 0.249 0.249 0.249
Ga 0.751 0.751 0.751

## Properties
The density of states at the Fermi level comes out at 7.49 states/eV/cell. The total magnetization is 0.00 μB per cell.

---

<Q>
Compound: Nd4TlGa2
Source: Alexandria via LeMat-Bulk
Functional: GGA-PBE
Structure: optimized geometry

Cell: 9.722 9.722 9.722 Å, 31.03 31.03 31.03°
Atoms (fractional coordinates):
Nd 0.118 0.118 0.118
Nd 0.295 0.295 0.295
Nd 0.705 0.705 0.705
Nd 0.882 0.882 0.882
Tl 0.500 0.500 0.500
Ga 0.402 0.402 0.402
Ga 0.598 0.598 0.598

## Properties
The density of states at the Fermi level comes out at 6.99 states/eV/cell. The total magnetization is 0.00 μB per cell.

---

Which of them is least stable? Easy: <Q>.